# 1
# SrAc6Ho2 GGA-PBE optimized geometry
data_SrAc6Ho2
_chemical_formula_sum 'Sr1 Ac6 Ho2'
_space_group_name_H-M_alt 'P -3 1 m'
_space_group_IT_number 162
_space_group_name_Hall '-P 3 2'
_cell_length_a 6.6639
_cell_length_b 6.6639
_cell_length_c 12.3030
_cell_angle_alpha 90.00
_cell_angle_beta 90.00
_cell_angle_gamma 120.00
loop_
_atom_site_label
_atom_site_type_symbol
_atom_site_fract_x
_atom_site_fract_y
_atom_site_fract_z
Sr1 Sr 0.0000 0.0000 0.0000
Ac1 Ac 0.0000 0.3297 0.2739
Ho1 Ho 0.3333 0.6667 0.5000
# - energy (eV/atom) = -3.46
# - ΔH_f (0 K) (meV/atom) = 484



# 2
# Sr3Ac12Ho5 GGA-PBE optimized geometry
data_Sr3Ac12Ho5
_chemical_formula_sum 'Sr24 Ac96 Ho40'
_space_group_name_H-M_alt 'I a -3 d'
_space_group_IT_number 230
_space_group_name_Hall '-I 4bd 2c 3'
_cell_length_a 20.773
_cell_length_b 20.773
_cell_length_c 20.773
_cell_angle_alpha 90.00
_cell_angle_beta 90.00
_cell_angle_gamma 90.00
loop_
_atom_site_label
_atom_site_type_symbol
_atom_site_fract_x
_atom_site_fract_y
_atom_site_fract_z
Sr1 Sr 0.000 0.250 0.125
Ac1 Ac 0.059 0.065 0.620
Ho1 Ho 0.000 0.000 0.000
Ho2 Ho 0.000 0.250 0.375
# - energy (eV/atom) = -2.93
# - ΔH_f (0 K) (meV/atom) = 930



# 3
# SrAcHo GGA-PBE optimized geometry
data_SrAcHo
_chemical_formula_sum 'Sr1 Ac1 Ho1'
_space_group_name_H-M_alt 'P 3 m 1'
_space_group_IT_number 156
_cell_length_a 3.8930
_cell_length_b 3.8930
_cell_length_c 9.5615
_cell_angle_alpha 90.00
_cell_angle_beta 90.00
_cell_angle_gamma 120.00
loop_
_space_group_symop_operation_xyz
'x,y,z'
'-y,x-y,z'
'-x+y,-x,z'
'-y,-x,z'
'-x+y,y,z'
'x,x-y,z'
loop_
_atom_site_label
_atom_site_type_symbol
_atom_site_fract_x
_atom_site_fract_y
_atom_site_fract_z
Sr1 Sr 0.0000 0.0000 0.0000
Ac1 Ac 0.3333 0.6667 0.6311
Ho1 Ho 0.6667 0.3333 0.3309
# - energy (eV/atom) = -3.33
# - energy relative to the lowest polymorph listed for this composition (eV/f.u.) = 0.04
# - ΔH_f (0 K) (meV/atom) = 123



# 4
# SrAc14Ho GGA-PBE optimized geometry
data_SrAc14Ho
_chemical_formula_sum 'Sr2 Ac28 Ho2'
_space_group_name_H-M_alt 'A m m 2'
_space_group_IT_number 38
_cell_length_a 11.215
_cell_length_b 11.273
_cell_length_c 11.274
_cell_angle_alpha 90.00
_cell_angle_beta 90.00
_cell_angle_gamma 90.00
loop_
_space_group_symop_operation_xyz
'x,y,z'
'-x,-y,z'
'-x,y,z'
'x,-y,z'
'x,y+1/2,z+1/2'
'-x,-y+1/2,z+1/2'
'-x,y+1/2,z+1/2'
'x,-y+1/2,z+1/2'
loop_
_atom_site_label
_atom_site_type_symbol
_atom_site_fract_x
_atom_site_fract_y
_atom_site_fract_z
Sr1 Sr 0.000 0.000 0.000
Ac1 Ac 0.000 0.249 0.750
Ac2 Ac 0.248 0.000 0.255
Ac3 Ac 0.249 0.245 0.500
Ac4 Ac 0.250 0.000 0.745
Ac5 Ac 0.500 0.000 0.000
Ac6 Ac 0.500 0.000 0.500
Ac7 Ac 0.500 0.249 0.250
Ho1 Ho 0.000 0.000 0.500
# - energy (eV/atom) = -3.95
# - ΔH_f (0 K) (meV/atom) = 36



# 5
# SrAcHo GGA-PBE optimized geometry
data_SrAcHo
_chemical_formula_sum 'Sr2 Ac2 Ho2'
_space_group_name_H-M_alt 'P 4/n m m'
_space_group_IT_number 129
_cell_length_a 5.300
_cell_length_b 5.300
_cell_length_c 9.514
_cell_angle_alpha 90.00
_cell_angle_beta 90.00
_cell_angle_gamma 90.00
loop_
_space_group_symop_operation_xyz
'x,y,z'
'-x,-y,-z'
'-y+1/2,x,z'
'y+1/2,-x,-z'
'-x+1/2,-y+1/2,z'
'x+1/2,y+1/2,-z'
'y,-x+1/2,z'
'-y,x+1/2,-z'
'x+1/2,-y,-z'
'-x+1/2,y,z'
'-y,-x,-z'
'y,x,z'
'-x,y+1/2,-z'
'x,-y+1/2,z'
'y+1/2,x+1/2,-z'
'-y+1/2,-x+1/2,z'
loop_
_atom_site_label
_atom_site_type_symbol
_atom_site_fract_x
_atom_site_fract_y
_atom_site_fract_z
Sr1 Sr 0.250 0.250 0.161
Ac1 Ac 0.250 0.750 0.500
Ho1 Ho 0.250 0.250 0.765
# - energy (eV/atom) = -3.14
# - energy relative to the lowest polymorph listed for this composition (eV/f.u.) = 0.60
# - ΔH_f (0 K) (meV/atom) = 312



# 6
# SrAcHo GGA-PBE optimized geometry
data_SrAcHo
_chemical_formula_sum 'Sr2 Ac2 Ho2'
_space_group_name_H-M_alt 'I 4 m m'
_space_group_IT_number 107
_space_group_name_Hall 'I 4 -2'
_cell_length_a 3.920
_cell_length_b 3.920
_cell_length_c 16.433
_cell_angle_alpha 90.00
_cell_angle_beta 90.00
_cell_angle_gamma 90.00
loop_
_atom_site_label
_atom_site_type_symbol
_atom_site_fract_x
_atom_site_fract_y
_atom_site_fract_z
Sr1 Sr 0.000 0.000 0.000
Ac1 Ac 0.000 0.000 0.312
Ho1 Ho 0.000 0.000 0.668
# - energy (eV/atom) = -3.34
# - energy relative to the lowest polymorph listed for this composition (eV/f.u.) = 0.00
# - ΔH_f (0 K) (meV/atom) = 111



# 7
# SrAc4Ho GGA-PBE optimized geometry
data_SrAc4Ho
_chemical_formula_sum 'Sr1 Ac4 Ho1'
_space_group_name_H-M_alt 'P 4/m m m'
_space_group_IT_number 123
_space_group_name_Hall '-P 4 2'
_cell_length_a 3.990
_cell_length_b 3.990
_cell_length_c 16.469
_cell_angle_alpha 90.00
_cell_angle_beta 90.00
_cell_angle_gamma 90.00
loop_
_atom_site_label
_atom_site_type_symbol
_atom_site_fract_x
_atom_site_fract_y
_atom_site_fract_z
Sr1 Sr 0.000 0.000 0.000
Ac1 Ac 0.000 0.000 0.352
Ac2 Ac 0.500 0.500 0.188
Ho1 Ho 0.500 0.500 0.500
# - energy (eV/atom) = -3.73
# - energy relative to the lowest polymorph listed for this composition (eV/f.u.) = 0.00
# - ΔH_f (0 K) (meV/atom) = 53



# 8
# SrAc4Ho GGA-PBE optimized geometry
data_SrAc4Ho
_chemical_formula_sum 'Sr4 Ac16 Ho4'
_space_group_name_H-M_alt 'F -4 3 m'
_space_group_IT_number 216
_space_group_name_Hall 'F -4 2 3'
_cell_length_a 10.366
_cell_length_b 10.366
_cell_length_c 10.366
_cell_angle_alpha 90.00
_cell_angle_beta 90.00
_cell_angle_gamma 90.00
loop_
_atom_site_label
_atom_site_type_symbol
_atom_site_fract_x
_atom_site_fract_y
_atom_site_fract_z
Sr1 Sr 0.000 0.000 0.000
Ac1 Ac 0.123 0.123 0.377
Ho1 Ho 0.250 0.250 0.750
# - energy (eV/atom) = -3.49
# - energy relative to the lowest polymorph listed for this composition (eV/f.u.) = 1.45
# - ΔH_f (0 K) (meV/atom) = 295



# 9
# SrAc2HoTe5 GGA-PBE optimized geometry
data_SrAc2HoTe5
_chemical_formula_sum 'Sr1 Ac2 Ho1 Te5'
_space_group_name_H-M_alt 'P 4/m m m'
_space_group_IT_number 123
_space_group_name_Hall '-P 4 2'
_cell_length_a 5.521
_cell_length_b 5.521
_cell_length_c 12.014
_cell_angle_alpha 90.00
_cell_angle_beta 90.00
_cell_angle_gamma 90.00
loop_
_atom_site_label
_atom_site_type_symbol
_atom_site_fract_x
_atom_site_fract_y
_atom_site_fract_z
Sr1 Sr 0.000 0.000 0.000
Ac1 Ac 0.500 0.500 0.303
Ho1 Ho 0.000 0.000 0.500
Te1 Te 0.000 0.000 0.253
Te2 Te 0.000 0.500 0.500
Te3 Te 0.500 0.500 0.000
# - energy (eV/atom) = -4.54
# - raw formation energy (meV per atom) = -1186.3



# 10
# Sr3Ac3HoTe8 GGA-PBE optimized geometry
data_Sr3Ac3HoTe8
_chemical_formula_sum 'Sr9 Ac9 Ho3 Te24'
_space_group_name_H-M_alt 'R -3 m'
_space_group_IT_number 166
_space_group_name_Hall '-R 3 2"'
_cell_length_a 9.3649
_cell_length_b 9.3649
_cell_length_c 23.2819
_cell_angle_alpha 90.00
_cell_angle_beta 90.00
_cell_angle_gamma 120.00
loop_
_atom_site_label
_atom_site_type_symbol
_atom_site_fract_x
_atom_site_fract_y
_atom_site_fract_z
Sr1 Sr 0.0000 0.5000 0.0000
Ac1 Ac 0.0000 0.5000 0.5000
Ho1 Ho 0.0000 0.0000 0.5000
Te1 Te 0.0000 0.0000 0.2515
Te2 Te 0.0182 0.5091 0.2457
# - energy (eV/atom) = -4.72
# - raw formation energy (meV per atom) = -1582.2



# 11
# SrAcHoTl GGA-PBE optimized geometry
data_SrAcHoTl
_chemical_formula_sum 'Sr4 Ac4 Ho4 Tl4'
_space_group_name_H-M_alt 'F -4 3 m'
_space_group_IT_number 216
_space_group_name_Hall 'F -4 2 3'
_cell_length_a 8.310
_cell_length_b 8.310
_cell_length_c 8.310
_cell_angle_alpha 90.00
_cell_angle_beta 90.00
_cell_angle_gamma 90.00
loop_
_atom_site_label
_atom_site_type_symbol
_atom_site_fract_x
_atom_site_fract_y
_atom_site_fract_z
Sr1 Sr 0.000 0.000 0.000
Ac1 Ac 0.250 0.250 0.250
Ho1 Ho 0.000 0.000 0.500
Tl1 Tl 0.250 0.250 0.750
# - energy (eV/atom) = -3.06
# - ΔH_f (0 K) (meV/atom) = 119



# 12
# Ac2HoTa GGA-PBE optimized geometry
data_Ac2HoTa
_chemical_formula_sum 'Ac6 Ho3 Ta3'
_space_group_name_H-M_alt 'R -3 m'
_space_group_IT_number 166
_space_group_name_Hall '-R 3 2"'
_cell_length_a 3.4982
_cell_length_b 3.4982
_cell_length_c 36.9980
_cell_angle_alpha 90.00
_cell_angle_beta 90.00
_cell_angle_gamma 120.00
loop_
_atom_site_label
_atom_site_type_symbol
_atom_site_fract_x
_atom_site_fract_y
_atom_site_fract_z
Ac1 Ac 0.0000 0.0000 0.0820
Ho1 Ho 0.0000 0.0000 0.5000
Ta1 Ta 0.0000 0.0000 0.0000
# - energy (eV/atom) = -5.27
# - ΔH_f (0 K) (meV/atom) = 888